# K3Ag2SnBr9

A geometry-optimized K3Ag2SnBr9 structure (GGA-PBE, Alexandria via LeMat-Bulk).

POSCAR file:
```
K3Ag2SnBr9
1.0
7.8102 0.0000 0.0000
-3.9051 6.7638 0.0000
0.0000 0.0000 9.6312
K Ag Sn Br
3 2 1 9
Direct
0.0000 0.0000 0.0000
0.3333 0.6667 0.7294
0.6667 0.3333 0.2706
0.3333 0.6667 0.1623
0.6667 0.3333 0.8377
0.0000 0.0000 0.5000
0.0000 0.5000 0.0000
0.1626 0.3253 0.3350
0.1626 0.8374 0.3350
0.3253 0.1626 0.6650
0.5000 0.0000 0.0000
0.5000 0.5000 0.0000
0.6747 0.8374 0.3350
0.8374 0.1626 0.6650
0.8374 0.6747 0.6650
```

Values from the calculation:
* raw formation energy: -0.970 eV/atom
* symmetry: P-3m1, No. 164
* N(E_F): 4.321 states/eV/f.u.